(1)
Compound: KBaLiY2
Source: Alexandria
Functional: GGA-PBE
Structure: optimized geometry

a b c (Å): 5.774 6.324 5.774
angles (deg): 90.00 90.00 90.00
Fractional positions:
Li 0.000 0.000 0.000
Y 0.500 0.000 0.000
Y 0.000 0.000 0.500
K 0.000 0.500 0.000
Ba 0.500 0.500 0.500

Summary:
As for the crystal system: tetragonal.

(2)
Compound: Ca2AuBr
Source: Alexandria
Functional: GGA-PBE
Structure: optimized geometry

a b c (Å): 5.337 5.337 5.337
angles (deg): 60.00 60.00 60.00
Fractional positions:
Br 0.000 0.000 0.000
Au 0.500 0.500 0.500
Ca 0.750 0.750 0.750
Ca 0.250 0.250 0.250

Summary:
The calculation puts the raw formation energy at -0.853 eV/atom. As for the crystal system: cubic. Its polymorph energy (0 for the lowest one) is 255 meV per atom.

(3)
Compound: PaGaAs
Source: Alexandria
Functional: GGA-PBE
Structure: optimized geometry

a b c (Å): 4.141 4.141 8.019
angles (deg): 104.96 104.96 90.00
Fractional positions:
Ga 0.500 0.000 0.000
Ga 0.000 0.500 0.000
As 0.843 0.843 0.686
As 0.157 0.157 0.314
Pa 0.352 0.352 0.704
Pa 0.648 0.648 0.296

Summary:
As for the crystal system: tetragonal. Its polymorph energy (0 for the lowest one) is 0 meV per atom.

(4)
Compound: TbGa2Cu
Source: Alexandria
Functional: GGA-PBE
Structure: optimized geometry

a b c (Å): 3.278 3.278 6.811
angles (deg): 90.00 90.00 90.00
Fractional positions:
Ga 0.000 0.000 0.802
Ga 0.000 0.000 0.198
Tb 0.500 0.500 0.500
Cu 0.500 0.500 0.000

Summary:
As for the crystal system: tetragonal.

| no. | uncorrected energy (eV/atom) |
| --- | --- |
| 1 | -3.03 |
| 2 | -3.09 |
| 3 | -6.44 |
| 4 | -3.99 |